Entry 1:
DFT (PBEsol) results for a geometry-optimized Ag5Te3 structure.

a b c (Å): 8.2282 8.2282 8.2282
angles (deg): 99.00 99.00 133.41
Fractional coordinates of all 16 atoms:
Ag: 0.0000 0.5000 0.5000
Ag: 0.0257 0.7331 0.2525
Ag: 0.2331 0.5257 0.2525
Ag: 0.2732 0.9806 0.7475
Ag: 0.4806 0.7732 0.7475
Ag: 0.5000 0.0000 0.5000
Ag: 0.5257 0.2732 0.2927
Ag: 0.7331 0.4806 0.7073
Ag: 0.7732 0.0257 0.2927
Ag: 0.9806 0.2331 0.7073
Te: 0.2426 0.3508 0.5000
Te: 0.2654 0.2654 0.0000
Te: 0.3508 0.8508 0.1083
Te: 0.7426 0.2426 0.8917
Te: 0.7654 0.7654 0.0000
Te: 0.8508 0.7426 0.5000

Computed properties:
- ρ (g/cm3) = 8.2
- space-group type = No. 108
- V (Å³ per atom) = 23.23


Entry 2:
DFT (PBEsol) results for a geometry-optimized ScSbRh2 structure.

a b c (Å): 5.1274 5.1274 5.1274
angles (deg): 135.60 135.60 64.60
Fractional coordinates of all 4 atoms:
Sc: 0.0000 0.0000 0.0000
Sb: 0.7500 0.2500 0.5000
Rh: 0.2500 0.7500 0.5000
Rh: 0.5000 0.5000 0.0000

Computed properties:
- ρ (g/cm3) = 9.5
- space-group type = No. 119
- V (Å³ per atom) = 16.27


Entry 3:
DFT (PBEsol) results for a geometry-optimized TbCu5 structure.

a b c (Å): 4.9612 4.9612 4.0022
angles (deg): 90.00 90.00 120.00
Fractional coordinates of all 6 atoms:
Tb: 0.0000 0.0000 0.0000
Cu: 0.0000 0.5000 0.5000
Cu: 0.3333 0.6667 0.0000
Cu: 0.5000 0.0000 0.5000
Cu: 0.5000 0.5000 0.5000
Cu: 0.6667 0.3333 0.0000

Computed properties:
- energy of formation from the pure elements (kcal/mol of atoms) = -4.3
- ρ (g/cm3) = 9.3
- space-group type = No. 191
- V (Å³ per atom) = 14.22


Entry 4:
DFT (PBEsol) results for a geometry-optimized Fe2CoCu structure.

a b c (Å): 2.4874 3.5325 4.9967
angles (deg): 90.00 90.00 90.00
Fractional coordinates of all 4 atoms:
Fe: 0.0000 0.0000 0.0000
Fe: 0.5000 0.5000 0.2566
Co: 0.0000 0.0000 0.4895
Cu: 0.5000 0.5000 0.7471

Computed properties:
- energy of formation from the pure elements (kcal/mol of atoms) = 3.2
- ρ (g/cm3) = 8.9
- space-group type = No. 25
- V (Å³ per atom) = 10.98


Entry 5:
DFT (PBEsol) results for a geometry-optimized RbMgOF2 structure.

a b c (Å): 4.0462 4.0462 4.1792
angles (deg): 90.00 90.00 90.00
Fractional coordinates of all 5 atoms:
Rb: 0.0000 0.0000 0.0000
Mg: 0.5000 0.5000 0.5000
O: 0.5000 0.5000 0.0000
F: 0.0000 0.5000 0.5000
F: 0.5000 0.0000 0.5000

Computed properties:
- ρ (g/cm3) = 4.0
- space-group type = No. 123
- V (Å³ per atom) = 13.68


Entry 6:
DFT (PBEsol) results for a geometry-optimized ZnTcSe2 structure.

a b c (Å): 3.2872 4.0115 5.1318
angles (deg): 90.00 90.00 90.00
Fractional coordinates of all 4 atoms:
Zn: 0.0000 0.0000 0.0000
Tc: 0.5000 0.5000 0.5000
Se: 0.0000 0.0000 0.5000
Se: 0.5000 0.5000 0.0000

Computed properties:
- ρ (g/cm3) = 7.9
- space-group type = No. 47
- V (Å³ per atom) = 16.92


Per-record uncorrected energy, eV per cell: -53.82, -30.38, -27.81, -29.45, -24.02, -20.22